No. 1
This record from Alexandria describes a relaxed structure of Cd2Ag7Au3. The functional is GGA-PBE.

Structure (extended XYZ):
```
12
Lattice="2.919 0.000 0.000 -0.012 4.973 0.000 -1.395 -0.317 16.779" Properties=species:S:1:pos:R:3 pbc="T T T"
Cd 0.014 1.384 4.786
Cd 1.498 3.272 11.993
Ag -0.004 3.313 2.525
Ag 0.020 4.382 7.079
Ag 0.047 3.847 14.386
Ag 1.454 2.487 0.000
Ag 1.465 0.809 2.393
Ag 1.492 0.274 9.700
Ag 1.516 1.343 14.254
Au 0.000 0.000 0.000
Au 0.030 2.754 9.594
Au 1.483 1.902 7.185
```

Results
ρ	10.71	g/cm³
calculated formation energy	0.020	eV per atom
M_tot	0.0	μB/cell



No. 2
This record from Alexandria describes a relaxed structure of Cd3AgAu. The functional is GGA-PBE.

Structure (extended XYZ):
```
10
Lattice="4.912 0.000 0.000 1.966 6.690 0.000 2.158 2.020 6.664" Properties=species:S:1:pos:R:3 pbc="T T T"
Cd 1.112 2.008 2.006
Cd 5.418 8.217 5.748
Cd 3.465 3.300 3.238
Cd 5.571 5.410 3.426
Cd 3.618 0.493 0.917
Cd 7.924 6.702 4.659
Ag 4.380 4.740 6.151
Ag 4.655 3.970 0.514
Au 3.045 5.855 1.920
Au 5.991 2.855 4.745
```

Results
ρ	9.74	g/cm³
calculated formation energy	-0.043	eV per atom
M_tot	0.0	μB/cell



No. 3
This record from Alexandria describes a relaxed structure of Cd3Ag7Au. The functional is GGA-PBE.

Structure (extended XYZ):
```
11
Lattice="4.839 -4.917 0.000 4.839 4.917 0.000 -2.246 0.000 4.824" Properties=species:S:1:pos:R:3 pbc="T T T"
Cd 0.000 0.000 0.000
Cd 3.715 2.842 2.412
Cd 3.715 -2.842 2.412
Ag 1.328 2.487 3.989
Ag 0.874 0.000 2.634
Ag 6.103 2.487 0.835
Ag 3.715 0.000 2.412
Ag 1.328 -2.487 3.989
Ag 6.557 0.000 2.190
Ag 6.103 -2.487 0.835
Au 4.839 0.000 0.000
```

Results
ρ	9.33	g/cm³
calculated formation energy	0.102	eV per atom
M_tot	0.0	μB/cell



No. 4
This record from Alexandria describes a relaxed structure of Cd2Ag2Au7. The functional is GGA-PBE.

Structure (extended XYZ):
```
11
Lattice="4.933 -4.845 0.000 4.933 4.845 0.000 -2.201 0.000 4.499" Properties=species:S:1:pos:R:3 pbc="T T T"
Cd 4.933 2.761 0.000
Cd 4.933 -2.761 0.000
Ag 2.369 0.000 0.247
Ag 5.295 0.000 4.252
Au -1.101 0.000 2.249
Au 2.518 2.518 1.490
Au 5.146 2.518 3.009
Au 2.603 0.000 3.084
Au 5.061 0.000 1.415
Au 2.518 -2.518 1.490
Au 5.146 -2.518 3.009
```

Results
ρ	14.05	g/cm³
calculated formation energy	-0.028	eV per atom
M_tot	0.0	μB/cell



No. 5
This record from Alexandria describes a relaxed structure of Cd2Ag2Au. The functional is GGA-PBE.

Structure (extended XYZ):
```
5
Lattice="4.605 0.000 0.000 2.249 4.217 0.000 2.174 1.029 4.931" Properties=species:S:1:pos:R:3 pbc="T T T"
Cd 1.126 0.638 0.959
Cd 7.901 4.608 3.972
Ag 3.359 1.885 2.894
Ag 5.669 3.361 2.037
Au 3.427 2.109 0.000
```

Results
ρ	11.06	g/cm³
calculated formation energy	-0.091	eV per atom
M_tot	0.0	μB/cell



No. 6
This record from Alexandria describes a relaxed structure of Cd4AgAu2. The functional is GGA-PBE.

Structure (extended XYZ):
```
14
Lattice="7.374 0.000 0.000 0.000 5.951 0.000 -3.667 0.000 6.602" Properties=species:S:1:pos:R:3 pbc="T T T"
Cd -1.753 1.488 3.279
Cd -2.541 4.463 6.186
Cd 0.427 0.008 5.019
Cd 0.427 2.967 5.019
Cd 3.279 2.984 1.583
Cd 3.279 5.943 1.583
Cd 6.248 1.488 0.416
Cd 5.459 4.463 3.323
Ag 0.682 4.463 2.331
Ag 3.025 1.488 4.270
Au -1.932 1.488 6.132
Au 0.897 1.488 2.384
Au 2.809 4.463 4.218
Au 5.639 4.463 0.470
```

Results
ρ	10.91	g/cm³
calculated formation energy	-0.067	eV per atom
M_tot	0.0	μB/cell



No. 7
This record from Alexandria describes a relaxed structure of Cd3Ag8Au2. The functional is GGA-PBE.

Structure (extended XYZ):
```
13
Lattice="2.726 1.574 10.320 -2.726 1.574 10.320 0.000 -3.148 10.320" Properties=species:S:1:pos:R:3 pbc="T T T"
Cd 0.000 0.000 0.000
Cd 0.000 0.000 5.647
Cd 0.000 0.000 25.314
Ag -1.367 -0.789 17.457
Ag 0.000 -1.578 13.504
Ag -1.367 0.789 13.504
Ag 0.000 0.000 8.458
Ag 0.000 0.000 22.504
Ag 1.367 -0.789 17.457
Ag 0.000 1.578 17.457
Ag 1.367 0.789 13.504
Au 0.000 0.000 11.153
Au 0.000 0.000 19.808
```

Results
ρ	9.96	g/cm³
calculated formation energy	0.101	eV per atom
M_tot	0.0	μB/cell



No. 8
This record from Alexandria describes a relaxed structure of Cd5AgAu2. The functional is GGA-PBE.

Structure (extended XYZ):
```
16
Lattice="4.718 0.000 0.000 -2.359 4.086 0.000 0.000 0.000 18.549" Properties=species:S:1:pos:R:3 pbc="T T T"
Cd 0.000 0.000 2.901
Cd 0.000 0.000 6.373
Cd 0.000 0.000 12.176
Cd 0.000 0.000 15.648
Cd 0.000 2.724 0.959
Cd 0.000 2.724 4.637
Cd 0.000 2.724 8.316
Cd 2.359 1.362 10.233
Cd 2.359 1.362 13.912
Cd 2.359 1.362 17.590
Ag 0.000 2.724 13.912
Ag 2.359 1.362 4.637
Au 0.000 2.724 11.126
Au 0.000 2.724 16.698
Au 2.359 1.362 1.852
Au 2.359 1.362 7.423
```

Results
ρ	9.88	g/cm³
calculated formation energy	-0.094	eV per atom
M_tot	0.0	μB/cell